# Tm2Pd8Pt3 GGA-PBE optimized geometry
data_Tm2Pd8Pt3
_chemical_formula_sum 'Tm4 Pd16 Pt6'
_cell_length_a 13.5441
_cell_length_b 6.9553
_cell_length_c 4.8464
_cell_angle_alpha 90.00
_cell_angle_beta 91.26
_cell_angle_gamma 90.00
_symmetry_space_group_name_H-M 'C 1 2/m 1'
_symmetry_Int_Tables_number 12
loop_
_symmetry_equiv_pos_as_xyz
'x,y,z'
'-x,-y,-z'
'-x,y,-z'
'x,-y,z'
'x+1/2,y+1/2,z'
'-x+1/2,-y+1/2,-z'
'-x+1/2,y+1/2,-z'
'x+1/2,-y+1/2,z'
loop_
_atom_site_label
_atom_site_fract_x
_atom_site_fract_y
_atom_site_fract_z
_atom_site_occupancy
Tm1 0.1591 0.0000 0.2155 1
Pd1 0.0495 0.0000 0.7326 1
Pd2 0.1701 0.2953 0.6786 1
Pd3 0.1833 0.5000 0.1910 1
Pt1 0.0000 0.3152 0.0000 1
Pt2 0.0000 0.5000 0.5000 1
# Formation energy ... -0.402 eV per atom
# Spin magnetization ... 0.00 Bohr magnetons per cell
# Electronic total energy ... -147.7 eV for the cell shown